# 1
A plane-wave DFT calculation with PBE was carried out for a relaxed PmErTh2 crystal.

Summary:
Formation energy from the elements: 0.029 eV per atom
Total energy: -6.01 eV per atom

Lattice parameters (Å, degrees): 5.0475 5.0747 10.1399 90.00 90.10 90.00
Space group P2_1/m (No. 11)
One atom of each set of equivalent atoms:
1 Pm 0.0006 0.2500 0.3691 (multiplicity 2)
2 Er 0.4996 0.2500 0.6308 (multiplicity 2)
3 Th 0.9998 0.2500 0.8774 (multiplicity 2)
4 Th 0.4997 0.2500 0.1207 (multiplicity 2)

***

# 2
A plane-wave DFT calculation with PBE was carried out for a relaxed TiIrW2I crystal.

Summary:
Energy relative to the elements, uncorrected: 11.28 eV/f.u.
Total energy: -6.59 eV per atom

Lattice parameters (Å, degrees): 4.5648 4.5648 4.9958 90.00 90.00 90.00
Space group P4/mmm (No. 123)
One atom of each set of equivalent atoms:
1 Ti 0.0000 0.0000 0.0000 (multiplicity 1)
2 Ir 0.5000 0.5000 0.5000 (multiplicity 1)
3 W 0.0000 0.5000 0.0000 (multiplicity 2)
4 I 0.0000 0.0000 0.5000 (multiplicity 1)

***

# 3
A plane-wave DFT calculation with PBE was carried out for a relaxed LiTlPd14 crystal.

Summary:
Formation energy from the elements: -0.099 eV per atom
Total energy: -4.91 eV per atom

Lattice parameters (Å, degrees): 9.2296 5.6033 9.6658 90.00 90.00 90.00
Space group Amm2 (No. 38)
One atom of each set of equivalent atoms:
1 Li 0.0000 0.0000 0.0000 (multiplicity 2)
2 Tl 0.0000 0.0000 0.4995 (multiplicity 2)
3 Pd 0.0000 0.2494 0.2491 (multiplicity 4)
4 Pd 0.2479 0.0000 0.8318 (multiplicity 4)
5 Pd 0.2505 0.2474 0.0811 (multiplicity 8)
6 Pd 0.2521 0.0000 0.3300 (multiplicity 4)
7 Pd 0.5000 0.0000 0.1647 (multiplicity 2)
8 Pd 0.5000 0.0000 0.6649 (multiplicity 2)
9 Pd 0.5000 0.2489 0.9143 (multiplicity 4)

***

no.,DOS(E_F) (states/eV per cell),theoretical density (g/cm3)
1,13.351,9.9
2,6.996,11.7
3,57.514,11.3